RbNiAuSeS2 | PBE | optimized geometry

Cell: 3.4291 16.7530 10.0411 Å, 90.00 90.00 90.00°
Last column: nearest neighbours and their distance in Å.
Space group Cmcm (No. 63)
Symmetry-distinct sites (fractional):
Rb  0.0000  0.2213  0.2500 (multiplicity 4)  2 Se 3.39, 2 Au 3.41, 2 Rb 3.43, 2 S 3.48
Ni  0.0000  0.5000  0.0000 (multiplicity 4)  4 S 2.30
Au  0.0000  0.1030  0.7500 (multiplicity 4)  2 S 2.33
Se  0.0000  0.4530  0.7500 (multiplicity 4)  2 Ni 2.63
S  0.0000  0.0904  0.5189 (multiplicity 8)  2 Ni 2.30, 1 Au 2.33

Summary:
Uncorrected energy   -3.879 eV per atom
Total moment   0.01 μB/atom